1.
{"formula": "Na3GeI", "functional": "PBE", "state": "relaxed", "lattice_angstrom": [[5.710, 0.000, 0.000], [0.000, 5.710, 0.000], [0.000, 0.000, 5.710]], "species": ["Na", "Na", "Na", "Ge", "I"], "fractional_positions": [[0.000, 0.000, 0.500], [0.000, 0.500, 0.000], [0.500, 0.000, 0.000], [0.000, 0.000, 0.000], [0.500, 0.500, 0.500]], "e_form_raw_ev_per_atom": -0.157, "dft_energy_ev_per_atom": -2.1818, "e_above_lowest_polymorph_ev_per_atom": 0.0000}

=====

2.
{"formula": "NaGeI4", "functional": "PBE", "state": "relaxed", "lattice_angstrom": [[6.244, -3.960, 0.000], [6.244, 3.960, 0.000], [0.000, 0.000, 13.637]], "species": ["Na", "Na", "Ge", "Ge", "I", "I", "I", "I", "I", "I", "I", "I"], "fractional_positions": [[0.136, 0.864, 0.750], [0.864, 0.136, 0.250], [0.356, 0.644, 0.250], [0.644, 0.356, 0.750], [0.148, 0.852, 0.089], [0.148, 0.852, 0.411], [0.261, 0.402, 0.750], [0.402, 0.261, 0.250], [0.598, 0.739, 0.750], [0.739, 0.598, 0.250], [0.852, 0.148, 0.589], [0.852, 0.148, 0.911]], "e_form_raw_ev_per_atom": -0.543, "dft_energy_ev_per_atom": -2.5658}

=====

3.
{"formula": "Na2GePbI6", "functional": "PBE", "state": "relaxed", "lattice_angstrom": [[8.760, 0.000, 0.000], [0.000, 8.760, 0.000], [0.000, 0.000, 6.576]], "species": ["Na", "Na", "Ge", "Pb", "I", "I", "I", "I", "I", "I"], "fractional_positions": [[0.000, 0.500, 0.000], [0.500, 0.000, 0.000], [0.000, 0.000, 0.786], [0.500, 0.500, 0.784], [0.000, 0.000, 0.384], [0.242, 0.242, 0.874], [0.242, 0.758, 0.874], [0.500, 0.500, 0.329], [0.758, 0.242, 0.874], [0.758, 0.758, 0.874]], "e_form_raw_ev_per_atom": -0.698, "dft_energy_ev_per_atom": -2.7241}

=====

4.
{"formula": "Rb3NaGe2I9", "functional": "PBE", "state": "relaxed", "lattice_angstrom": [[8.458, 0.000, 0.000], [-4.229, 7.325, 0.000], [0.000, 0.000, 10.416]], "species": ["Rb", "Rb", "Rb", "Na", "Ge", "Ge", "I", "I", "I", "I", "I", "I", "I", "I", "I"], "fractional_positions": [[0.000, 0.000, 0.000], [0.333, 0.667, 0.677], [0.667, 0.333, 0.323], [0.000, 0.000, 0.500], [0.333, 0.667, 0.168], [0.667, 0.333, 0.832], [0.000, 0.500, 0.000], [0.173, 0.346, 0.323], [0.173, 0.827, 0.323], [0.346, 0.173, 0.677], [0.500, 0.000, 0.000], [0.500, 0.500, 0.000], [0.654, 0.827, 0.323], [0.827, 0.173, 0.677], [0.827, 0.654, 0.677]], "e_form_raw_ev_per_atom": -0.843, "dft_energy_ev_per_atom": -2.6704}

=====

5.
{"formula": "RbNaGe2I6", "functional": "PBE", "state": "relaxed", "lattice_angstrom": [[6.922, -7.715, 0.000], [6.922, 7.715, 0.000], [-5.427, 0.000, 9.580]], "species": ["Rb", "Rb", "Na", "Na", "Ge", "Ge", "Ge", "Ge", "I", "I", "I", "I", "I", "I", "I", "I", "I", "I", "I", "I"], "fractional_positions": [[0.115, 0.885, 0.750], [0.885, 0.115, 0.250], [0.214, 0.786, 0.250], [0.786, 0.214, 0.750], [0.288, 0.428, 0.821], [0.428, 0.288, 0.321], [0.572, 0.712, 0.679], [0.712, 0.572, 0.179], [0.047, 0.198, 0.660], [0.142, 0.616, 0.928], [0.198, 0.047, 0.160], [0.326, 0.403, 0.526], [0.384, 0.858, 0.572], [0.403, 0.326, 0.026], [0.597, 0.674, 0.974], [0.616, 0.142, 0.428], [0.674, 0.597, 0.474], [0.802, 0.953, 0.840], [0.858, 0.384, 0.072], [0.953, 0.802, 0.340]], "e_form_raw_ev_per_atom": -0.685, "dft_energy_ev_per_atom": -2.7671}

=====

6.
{"formula": "NaGeRu2I", "functional": "PBE", "state": "relaxed", "lattice_angstrom": [[4.888, 0.000, 0.000], [0.000, 4.888, 0.000], [0.000, 0.000, 5.526]], "species": ["Na", "Ge", "Ru", "Ru", "I"], "fractional_positions": [[0.000, 0.000, 0.000], [0.500, 0.500, 0.000], [0.000, 0.500, 0.500], [0.500, 0.000, 0.500], [0.500, 0.500, 0.500]], "e_form_raw_ev_per_atom": 1.385, "dft_energy_ev_per_atom": -3.8226}